(1)
{
  "formula": "ReNi2Br",
  "functional": "PBE",
  "state": "optimized geometry",
  "lattice": [[3.798, 0.000, 0.000], [0.000, 2.729, -0.229], [0.000, -0.859, 6.244]],
  "species": ["Br", "Ni", "Ni", "Re"],
  "frac_coords": [[0.500, 0.819, 0.765], [0.000, 0.968, 0.051], [0.500, 0.070, 0.272], [0.000, 0.642, 0.411]],
  "formation_energy_uncorrected_kj_per_mol_fu": 255,
  "relative_energy_kj_per_mol_fu": 101,
  "magmom_total_mub_per_cell": 0.000
}

---

(2)
{
  "formula": "BeInB3",
  "functional": "PBE",
  "state": "optimized geometry",
  "lattice": [[-2.417, -2.735, 1.317], [-0.156, -1.569, -3.546], [3.032, -2.262, 0.867]],
  "species": ["Be", "B", "B", "B", "In"],
  "frac_coords": [[0.000, 0.000, 0.000], [0.000, 0.500, 0.000], [0.000, 0.000, 0.500], [0.500, 0.000, 0.000], [0.500, 0.500, 0.500]],
  "delta_e_f_ev_per_atom": 1.538,
  "relative_energy_kj_per_mol_fu": 0,
  "magmom_total_mub_per_cell": 0.000
}

---

(3)
{
  "formula": "Ba4Ca6Cl19",
  "functional": "PBE",
  "state": "optimized geometry",
  "lattice": [[9.678, 0.000, -3.422], [-4.839, 8.381, -3.422], [0.000, 0.000, 10.265]],
  "species": ["Ba", "Ba", "Ba", "Ba", "Ca", "Ca", "Ca", "Ca", "Ca", "Ca", "Cl", "Cl", "Cl", "Cl", "Cl", "Cl", "Cl", "Cl", "Cl", "Cl", "Cl", "Cl", "Cl", "Cl", "Cl", "Cl", "Cl", "Cl", "Cl"],
  "frac_coords": [[0.000, 0.000, 0.677], [0.000, 0.677, 0.000], [0.323, 0.323, 0.323], [0.677, 0.000, 0.000], [0.336, 0.500, 0.836], [0.664, 0.500, 0.164], [0.164, 0.664, 0.500], [0.836, 0.336, 0.500], [0.500, 0.836, 0.336], [0.500, 0.164, 0.664], [0.669, 0.000, 0.669], [0.331, 0.000, 0.331], [0.331, 0.331, 0.000], [0.669, 0.669, 0.000], [0.000, 0.669, 0.669], [0.000, 0.331, 0.331], [0.000, 0.000, 0.000], [0.244, 0.218, 0.591], [0.756, 0.348, 0.974], [0.626, 0.652, 0.409], [0.974, 0.756, 0.348], [0.374, 0.782, 0.026], [0.591, 0.244, 0.218], [0.026, 0.374, 0.782], [0.409, 0.626, 0.652], [0.782, 0.026, 0.374], [0.348, 0.974, 0.756], [0.218, 0.591, 0.244], [0.652, 0.409, 0.626]],
  "formation_energy_uncorrected_kj_per_mol_fu": -6591,
  "magmom_total_mub_per_cell": 0.000
}

---

Going through the records in order, we get D(E_F) values of 3.72 1.55 6.58 states/eV/cell.